# RbMnHF2, optimized geometry, DFT PBE+U
# * calculated volume: 77 Å³ per cell
# * electronic total energy: -4.960 eV per atom
# * density: 3.88 g/cm3
data_RbMnHF2
_chemical_formula_sum 'Rb1 Mn1 H1 F2'
_cell_length_a 4.4144
_cell_length_b 4.4144
_cell_length_c 3.9353
_cell_angle_alpha 90.00
_cell_angle_beta 90.00
_cell_angle_gamma 90.00
_space_group_name_H-M_alt 'P 4/m m m'
_space_group_IT_number 123
_space_group_name_Hall '-P 4 2'
loop_
_atom_site_label
_atom_site_type_symbol
_atom_site_fract_x
_atom_site_fract_y
_atom_site_fract_z
Rb1 Rb 0.0000 0.0000 0.0000
Mn1 Mn 0.5000 0.5000 0.5000
H1 H 0.5000 0.5000 0.0000
F1 F 0.0000 0.5000 0.5000